No. 1
5
Lattice="5.042 0.000 0.000 0.000 5.042 0.000 0.000 0.000 5.042" Properties=species:S:1:pos:R:3 comment="CsTa3Bi (PBEsol, relaxed)" dft_energy_ry_per_atom=-0.4176 magmom_total_mub_per_cell=0.00 pbc="T T T"
Cs 0.000 0.000 0.000
Ta 0.000 0.000 2.521
Ta 0.000 2.521 0.000
Ta 2.521 0.000 0.000
Bi 2.521 2.521 2.521



No. 2
5
Lattice="-2.664 2.664 6.612 2.664 -2.664 6.612 2.664 2.664 -6.612" Properties=species:S:1:pos:R:3 comment="CsTl2Bi2 (PBEsol, relaxed)" polymorph_energy_mev_per_atom=0 magmom_total_mub_per_cell=0.00 pbc="T T T"
Cs 0.000 0.000 0.000
Tl 2.664 0.000 3.306
Tl 0.000 2.664 3.306
Bi 0.000 0.000 5.010
Bi 0.000 0.000 8.215



No. 3
10
Lattice="8.194 0.000 0.000 0.000 8.194 0.000 0.000 0.000 6.153" Properties=species:S:1:pos:R:3 comment="Cs2Tl2Bi (PBEsol, relaxed)" dft_energy_ry_per_atom=-0.1796 magmom_total_mub_per_cell=0.00 pbc="T T T"
Cs 1.542 2.555 0.000
Cs 2.555 6.652 0.000
Cs 5.638 1.542 0.000
Cs 6.652 5.638 0.000
Tl 1.058 5.155 3.076
Tl 3.039 1.058 3.076
Tl 5.155 7.136 3.076
Tl 7.136 3.039 3.076
Bi 0.000 0.000 3.076
Bi 4.097 4.097 3.076



No. 4
10
Lattice="9.733 0.000 0.000 0.000 9.733 0.000 0.000 0.000 3.713" Properties=species:S:1:pos:R:3 comment="CsTl2Bi2 (PBEsol, relaxed)" polymorph_energy_mev_per_atom=80 magmom_total_mub_per_cell=0.00 pbc="T T T"
Cs 0.000 0.000 0.000
Cs 4.866 4.866 0.000
Tl 1.577 3.289 1.856
Tl 3.289 8.156 1.856
Tl 6.443 1.577 1.856
Tl 8.156 6.443 1.856
Bi 1.143 6.009 0.000
Bi 3.724 1.143 0.000
Bi 6.009 8.590 0.000
Bi 8.590 3.724 0.000



No. 5
30
Lattice="2.705 -14.999 0.000 2.705 14.999 0.000 0.000 0.000 5.266" Properties=species:S:1:pos:R:3 comment="Sr2DyCu2Bi2O8 (PBEsol, relaxed)" formation_energy_uncorrected_mev_per_atom=-1860 magmom_total_mub_per_cell=0.00 pbc="T T T"
Sr 1.347 4.116 0.000
Sr 1.347 -4.116 2.633
Sr 4.064 4.116 2.633
Sr 4.064 -4.116 0.000
Dy 1.353 7.499 0.000
Dy 1.353 -7.499 2.633
Cu 1.352 5.970 2.633
Cu 1.352 -5.970 0.000
Cu 4.059 5.970 0.000
Cu 4.059 -5.970 2.633
Bi 1.428 1.401 2.633
Bi 1.428 -1.401 0.000
Bi 3.982 1.401 0.000
Bi 3.982 -1.401 2.633
O 1.262 3.506 2.633
O 2.705 8.937 1.317
O 2.705 8.937 3.950
O 1.811 1.487 0.000
O 2.705 6.030 1.317
O 2.705 6.030 3.950
O 1.262 -3.506 0.000
O 1.811 -1.487 2.633
O 3.600 1.487 2.633
O 4.149 3.506 0.000
O 2.705 -6.030 1.317
O 2.705 -6.030 3.950
O 3.600 -1.487 0.000
O 2.705 -8.937 1.317
O 2.705 -8.937 3.950
O 4.149 -3.506 2.633



No. 6
15
Lattice="-1.870 1.870 15.255 1.870 -1.870 15.255 1.870 1.870 -15.255" Properties=species:S:1:pos:R:3 comment="Sr2EuCu2Bi2O8 (PBEsol, relaxed)" formation_energy_uncorrected_mev_per_atom=-1725 magmom_total_mub_per_cell=6.26 pbc="T T T"
Sr 0.000 0.000 3.475
Sr 0.000 0.000 27.036
Eu 0.000 0.000 0.000
Cu 0.000 0.000 13.607
Cu 0.000 0.000 16.904
Bi 0.000 0.000 9.049
Bi 0.000 0.000 21.462
O 1.870 0.000 1.585
O 0.000 0.000 6.153
O 0.000 0.000 11.152
O 1.870 0.000 13.671
O 0.000 1.870 1.585
O 0.000 0.000 19.359
O 0.000 0.000 24.358
O 0.000 1.870 13.671



No. 7
4
Lattice="0.000 3.328 3.328 3.328 0.000 3.328 3.328 3.328 0.000" Properties=species:S:1:pos:R:3 comment="CuBi2F (PBEsol, relaxed)" formation_energy_uncorrected_mev_per_atom=-546 magmom_total_mub_per_cell=0.00 pbc="T T T"
Cu 0.000 0.000 0.000
Bi 1.664 1.664 1.664
Bi 4.992 4.992 4.992
F 3.328 3.328 3.328



No. 8
5
Lattice="5.257 0.000 0.000 0.000 5.257 0.000 0.000 0.000 3.633" Properties=species:S:1:pos:R:3 comment="CuTcBi2F (PBEsol, relaxed)" formation_energy_uncorrected_mev_per_atom=328 magmom_total_mub_per_cell=2.52 pbc="T T T"
Cu 0.000 0.000 0.000
Tc 2.628 2.628 1.817
Bi 0.000 2.628 0.000
Bi 2.628 0.000 0.000
F 0.000 0.000 1.817



No. 9
5
Lattice="5.125 0.000 0.000 0.000 5.125 0.000 0.000 0.000 5.125" Properties=species:S:1:pos:R:3 comment="FeCuBi3 (PBEsol, relaxed)" dft_energy_ry_per_atom=-0.3140 magmom_total_mub_per_cell=3.14 pbc="T T T"
Fe 0.000 0.000 0.000
Cu 2.563 2.563 2.563
Bi 0.000 2.563 2.563
Bi 2.563 0.000 2.563
Bi 2.563 2.563 0.000



No. 10
8
Lattice="-2.923 2.923 3.003 2.923 -2.923 3.003 2.923 2.923 -3.003" Properties=species:S:1:pos:R:3 comment="CuBiH2 (PBEsol, relaxed)" dft_energy_ry_per_atom=-0.2578 magmom_total_mub_per_cell=0.00 pbc="T T T"
Cu 2.923 1.462 0.751
Cu 0.000 1.462 2.252
Bi 2.923 -1.462 2.252
Bi 0.000 4.385 0.751
H 2.923 0.000 0.000
H -1.462 1.462 1.502
H 0.000 0.000 3.003
H 1.462 1.462 1.502



No. 11
5
Lattice="5.118 0.000 0.000 0.000 5.118 0.000 0.000 0.000 3.779" Properties=species:S:1:pos:R:3 comment="YCu2BiH (PBEsol, relaxed)" dft_energy_ry_per_atom=-0.3059 magmom_total_mub_per_cell=0.00 pbc="T T T"
Y 0.000 0.000 0.000
Cu 0.000 2.559 1.889
Cu 2.559 0.000 1.889
Bi 2.559 2.559 1.889
H 2.559 2.559 0.000



No. 12
10
Lattice="6.764 0.000 0.000 0.000 6.764 0.000 0.000 0.000 3.925" Properties=species:S:1:pos:R:3 comment="Hf2Cu2Bi (PBEsol, relaxed)" dft_energy_ry_per_atom=-0.5077 magmom_total_mub_per_cell=0.00 pbc="T T T"
Hf 1.098 2.284 0.000
Hf 2.284 5.665 0.000
Hf 4.480 1.098 0.000
Hf 5.665 4.480 0.000
Cu 0.830 4.212 1.962
Cu 2.551 0.830 1.962
Cu 4.212 5.933 1.962
Cu 5.933 2.551 1.962
Bi 0.000 0.000 1.962
Bi 3.382 3.382 1.962



No. 13
5
Lattice="-1.714 1.714 8.616 1.714 -1.714 8.616 1.714 1.714 -8.616" Properties=species:S:1:pos:R:3 comment="Cu2Hg2Bi (PBEsol, relaxed)" dft_energy_ry_per_atom=-0.1951 magmom_total_mub_per_cell=0.00 pbc="T T T"
Cu 1.714 0.000 4.308
Cu 0.000 1.714 4.308
Hg 0.000 0.000 2.223
Hg 0.000 0.000 15.008
Bi 0.000 0.000 8.616



No. 14
5
Lattice="-2.738 2.738 3.696 2.738 -2.738 3.696 2.738 2.738 -3.696" Properties=species:S:1:pos:R:3 comment="Cu2HgBi2 (PBEsol, relaxed)" dft_energy_ry_per_atom=-0.2393 magmom_total_mub_per_cell=0.00 pbc="T T T"
Cu 0.000 0.000 1.153
Cu 0.000 0.000 6.240
Hg 0.000 0.000 3.696
Bi 2.738 0.000 1.848
Bi 0.000 2.738 1.848



No. 15
5
Lattice="5.494 0.000 0.000 0.000 5.494 0.000 0.000 0.000 4.685" Properties=species:S:1:pos:R:3 comment="CuHgBi2Pd (PBEsol, relaxed)" dft_energy_ry_per_atom=-0.2150 magmom_total_mub_per_cell=0.00 pbc="T T T"
Cu 0.000 0.000 0.000
Hg 0.000 0.000 2.342
Bi 0.000 2.747 2.342
Bi 2.747 0.000 2.342
Pd 2.747 2.747 0.000



No. 16
8
Lattice="-4.427 4.427 2.816 4.427 -4.427 2.816 4.427 4.427 -2.816" Properties=species:S:1:pos:R:3 comment="CuBi2I (PBEsol, relaxed)" formation_energy_uncorrected_mev_per_atom=148 magmom_total_mub_per_cell=0.00 pbc="T T T"
Cu 0.000 0.000 0.000
Cu 0.000 4.427 1.408
Bi 6.640 1.389 -0.704
Bi 1.389 2.213 0.704
Bi -2.213 3.037 2.112
Bi 3.037 2.213 3.520
I 4.427 0.000 1.408
I 0.000 0.000 2.816



No. 17
23
Lattice="7.387 -4.214 0.000 7.387 4.214 0.000 -4.633 0.000 14.026" Properties=species:S:1:pos:R:3 comment="Cu3Bi4I16 (PBEsol, relaxed)" formation_energy_uncorrected_mev_per_atom=-304 magmom_total_mub_per_cell=0.00 pbc="T T T"
Cu 0.000 0.000 0.000
Cu 7.585 0.000 0.195
Cu 9.469 0.000 3.517
Bi -2.668 0.000 9.836
Bi 0.075 0.000 13.133
Bi 6.158 2.073 6.108
Bi 6.158 -2.073 6.108
I 2.301 0.000 1.066
I 0.076 0.000 7.997
I 3.651 2.040 7.987
I 6.214 2.102 0.959
I 8.624 2.216 4.377
I 4.842 0.000 4.333
I 6.165 2.032 11.470
I 2.690 0.000 11.619
I 3.651 -2.040 7.987
I 7.455 0.000 7.925
I 6.214 -2.102 0.959
I 9.935 0.000 1.058
I 9.686 0.000 11.495
I 6.165 -2.032 11.470
I 12.154 0.000 4.303
I 8.624 -2.216 4.377



No. 18
30
Lattice="6.358 0.000 0.000 0.000 9.717 0.000 0.000 0.000 7.250" Properties=species:S:1:pos:R:3 comment="Cu3BiSe2IO8 (PBEsol, relaxed)" formation_energy_uncorrected_mev_per_atom=-749 magmom_total_mub_per_cell=6.01 pbc="T T T"
Cu 0.000 0.000 0.000
Cu 0.000 4.858 0.000
Cu 1.589 2.429 1.490
Cu 3.179 0.000 0.000
Cu 3.179 4.858 0.000
Cu 4.768 7.288 5.760
Bi 1.589 2.429 5.439
Bi 4.768 7.288 1.811
Se 1.589 5.399 2.845
Se 1.589 9.176 2.845
Se 4.768 0.540 4.405
Se 4.768 4.318 4.405
I 1.589 7.288 6.056
I 4.768 2.429 1.194
O 0.240 5.670 1.782
O 0.240 8.905 1.782
O 1.589 1.105 0.062
O 1.589 1.162 2.986
O 1.589 3.697 2.986
O 1.589 3.753 0.062
O 2.939 5.670 1.782
O 2.939 8.905 1.782
O 3.419 0.812 5.468
O 3.419 4.047 5.468
O 4.768 5.964 7.188
O 4.768 6.020 4.264
O 4.768 8.555 4.264
O 4.768 8.612 7.188
O 6.118 0.812 5.468
O 6.118 4.047 5.468



No. 19
10
Lattice="0.000 5.818 5.818 5.818 0.000 5.818 5.818 5.818 0.000" Properties=species:S:1:pos:R:3 comment="Rb2CuBiI6 (PBEsol, relaxed)" formation_energy_uncorrected_mev_per_atom=-744 magmom_total_mub_per_cell=0.00 pbc="T T T"
Rb 2.909 2.909 2.909
Rb 8.727 8.727 8.727
Cu 0.000 0.000 0.000
Bi 5.818 5.818 5.818
I 5.818 5.818 2.767
I 5.818 2.767 5.818
I 8.869 5.818 5.818
I 2.767 5.818 5.818
I 5.818 8.869 5.818
I 5.818 5.818 8.869



No. 20
5
Lattice="5.150 0.000 0.000 0.000 5.150 0.000 0.000 0.000 5.145" Properties=species:S:1:pos:R:3 comment="CuBiTe2I (PBEsol, relaxed)" formation_energy_uncorrected_mev_per_atom=217 magmom_total_mub_per_cell=0.00 pbc="T T T"
Cu 0.000 0.000 0.000
Bi 2.575 2.575 2.572
Te 0.000 2.575 0.000
Te 2.575 0.000 0.000
I 0.000 0.000 2.572